Compound: Li3VP2O8
Source: the Alexandria database
Functional: PBE with a Hubbard U
Structure: relaxed

ΔE to the lowest computed polymorph = 0.06 eV/f.u.

Unit cell a=4.929 b=8.853 c=7.866 alpha=90.00 beta=124.31 gamma=90.00
Space group P2_1/c (No. 14)
Unique sites:
Li  0.000  0.000  0.000 (multiplicity 2)
Li  0.324  0.137  0.815 (multiplicity 4)
V  0.500  0.000  0.500 (multiplicity 2)
P  0.191  0.682  0.218 (multiplicity 4)
O  0.147  0.134  0.480 (multiplicity 4)
O  0.173  0.644  0.744 (multiplicity 4)
O  0.254  0.597  0.405 (multiplicity 4)
O  0.474  0.645  0.190 (multiplicity 4)